# PBE AgRh2Au, optimized geometry
data_AgRh2Au
_chemical_formula_sum 'Ag1 Rh2 Au1'
_symmetry_space_group_name_H-M 'P 4/m m m'
_symmetry_Int_Tables_number 123
_symmetry_space_group_name_Hall '-P 4 2'
_cell_length_a 3.265
_cell_length_b 3.265
_cell_length_c 6.106
_cell_angle_alpha 90.00
_cell_angle_beta 90.00
_cell_angle_gamma 90.00
loop_
_atom_site_label
_atom_site_fract_x
_atom_site_fract_y
_atom_site_fract_z
_atom_site_occupancy
Ag1 0.000 0.000 0.000 1
Rh1 0.500 0.500 0.253 1
Au1 0.000 0.000 0.500 1
# Distance to the lowest polymorph of the same formula in eV per atom: 0.250
# Magnetic moment in μB/f.u.: 2.3
# Energy relative to the elements in meV/atom: 358